Entry 1:
! PaI2F4, optimized geometry, DFT PBE; values from VASP
&SYSTEM
  ibrav = 0, nat = 7, ntyp = 3
/
ATOMIC_SPECIES
Pa 231.04 Pa.upf
I 126.90 I.upf
F 19.00 F.upf
ATOMIC_POSITIONS angstrom
Pa 0.0000 0.0000 0.0000
I 1.6261 2.1777 2.1948
I 4.8782 6.5330 9.0290
F 3.2522 1.6295 5.6016
F 4.5201 4.3553 6.4290
F 1.9842 4.3553 6.4290
F 3.2522 7.0812 5.6016
CELL_PARAMETERS angstrom
0.0000 4.3553 6.8342
3.2522 0.0000 6.8342
3.2522 4.3553 0.0000
! symmetry: No. 42
! crystal system: orthorhombic

Entry 2:
! PaIF2, optimized geometry, DFT PBE; values from VASP
&SYSTEM
  ibrav = 0, nat = 4, ntyp = 3
/
ATOMIC_SPECIES
Pa 231.04 Pa.upf
I 126.90 I.upf
F 19.00 F.upf
ATOMIC_POSITIONS angstrom
Pa 0.0000 0.0000 0.0000
I 0.0000 0.0000 8.4000
F 0.0000 0.0000 5.1134
F 0.0000 0.0000 11.6866
CELL_PARAMETERS angstrom
2.0949 1.2095 5.6000
-2.0949 1.2095 5.6000
0.0000 -2.4190 5.6000
! symmetry: No. 166
! crystal system: trigonal

Entry 3:
! PaI2F2, optimized geometry, DFT PBE; values from VASP
&SYSTEM
  ibrav = 0, nat = 10, ntyp = 3
/
ATOMIC_SPECIES
Pa 231.04 Pa.upf
I 126.90 I.upf
F 19.00 F.upf
ATOMIC_POSITIONS angstrom
Pa 5.8670 1.9630 4.9232
Pa 6.5420 -1.9630 1.6411
I 4.5762 0.5349 2.3888
I 3.9011 -0.5349 5.6710
I 8.5079 0.5349 0.8934
I 7.8328 -0.5349 4.1755
F -0.2133 0.4314 6.5118
F 0.4618 -0.4314 3.2296
F 11.9472 0.4314 3.3347
F 12.6223 -0.4314 0.0525
CELL_PARAMETERS angstrom
6.8795 -3.0778 0.0000
6.8795 3.0778 0.0000
-1.3501 0.0000 6.5643
! symmetry: No. 15
! crystal system: monoclinic

Entry 4:
! Rb2PaI2F4, optimized geometry, DFT PBE; values from VASP
&SYSTEM
  ibrav = 0, nat = 9, ntyp = 4
/
ATOMIC_SPECIES
Rb 85.47 Rb.upf
Pa 231.04 Pa.upf
I 126.90 I.upf
F 19.00 F.upf
ATOMIC_POSITIONS angstrom
Rb 3.7503 0.0000 2.6806
Rb 0.0000 3.7503 2.6806
Pa 0.0000 0.0000 0.0000
I 0.0000 0.0000 3.1544
I 0.0000 0.0000 7.5678
F 1.5181 1.5181 0.0000
F 2.2322 -2.2322 5.3611
F -2.2322 2.2322 5.3611
F 2.2322 2.2322 5.3611
CELL_PARAMETERS angstrom
-3.7503 3.7503 5.3611
3.7503 -3.7503 5.3611
3.7503 3.7503 -5.3611
! symmetry: No. 139
! crystal system: tetragonal

no.,total energy (eV/atom)
1,-5.492
2,-6.120
3,-5.468
4,-5.099